1.
K4As5, relaxed, DFT PBE; formation enthalpy at 0 K = 0.225 eV per atom; volume = 27.1 Å³ per atom; density of states at the Fermi level = 0.6936 states/eV per atom; relative energy among the computed polymorphs = 0.368 eV per atom; SG = P6_3/mcm; DFT total energy = -51.2 eV per cell
1.0
-3.998 -8.242 -1.190
9.209 0.671 0.271
-0.128 -0.884 6.552
As K
10 8
Cartesian
3.280 -5.568 4.318 As
0.405 -5.271 -0.703 As
-1.504 -3.566 4.495 As
5.934 0.213 1.813 As
4.807 -2.300 -0.216 As
4.743 -2.742 3.060 As
1.803 -2.888 1.314 As
3.148 -0.427 5.009 As
-2.622 -5.560 0.867 As
0.340 -5.713 2.573 As
3.007 0.000 1.727 K
3.460 -5.294 1.022 K
-1.351 -2.941 1.245 K
0.000 0.000 0.000 K
-2.775 -6.185 4.117 K
1.624 -3.162 4.611 K
-0.064 -0.442 3.276 K
6.074 -0.214 5.095 K



2.
Tb2HoRh, relaxed, DFT PBE; formation enthalpy at 0 K = -0.378 eV per atom; volume = 26.5 Å³ per atom; density of states at the Fermi level = 1.3210 states/eV per atom; relative energy among the computed polymorphs = 0.145 eV per atom; SG = P4/mmm; DFT total energy = -22.7 eV per cell
1.0
3.514 0.000 0.000
0.000 3.514 0.000
0.000 0.000 8.571
Tb Ho Rh
2 1 1
Cartesian
0.000 0.000 1.635 Tb
0.000 0.000 6.936 Tb
1.757 1.757 4.285 Ho
1.757 1.757 0.000 Rh



- What is the density of states at the Fermi level in the second record?
  1.3210 states/eV per atom



Repeat the second record exactly.
Tb2HoRh, relaxed, DFT PBE; formation enthalpy at 0 K = -0.378 eV per atom; volume = 26.5 Å³ per atom; density of states at the Fermi level = 1.3210 states/eV per atom; relative energy among the computed polymorphs = 0.145 eV per atom; SG = P4/mmm; DFT total energy = -22.7 eV per cell
1.0
3.514 0.000 0.000
0.000 3.514 0.000
0.000 0.000 8.571
Tb Ho Rh
2 1 1
Cartesian
0.000 0.000 1.635 Tb
0.000 0.000 6.936 Tb
1.757 1.757 4.285 Ho
1.757 1.757 0.000 Rh



- Which of these has the highest density of states at the Fermi level?
  Tb2HoRh



Copy entry 1 word for word.
K4As5, relaxed, DFT PBE; formation enthalpy at 0 K = 0.225 eV per atom; volume = 27.1 Å³ per atom; density of states at the Fermi level = 0.6936 states/eV per atom; relative energy among the computed polymorphs = 0.368 eV per atom; SG = P6_3/mcm; DFT total energy = -51.2 eV per cell
1.0
-3.998 -8.242 -1.190
9.209 0.671 0.271
-0.128 -0.884 6.552
As K
10 8
Cartesian
3.280 -5.568 4.318 As
0.405 -5.271 -0.703 As
-1.504 -3.566 4.495 As
5.934 0.213 1.813 As
4.807 -2.300 -0.216 As
4.743 -2.742 3.060 As
1.803 -2.888 1.314 As
3.148 -0.427 5.009 As
-2.622 -5.560 0.867 As
0.340 -5.713 2.573 As
3.007 0.000 1.727 K
3.460 -5.294 1.022 K
-1.351 -2.941 1.245 K
0.000 0.000 0.000 K
-2.775 -6.185 4.117 K
1.624 -3.162 4.611 K
-0.064 -0.442 3.276 K
6.074 -0.214 5.095 K